This record from Alexandria describes crystalline Pm2AsRh at its relaxed geometry. The functional is GGA-PBE.

Output
- calculated formation energy (eV/atom) = -0.824
- SG = Fm-3m
- ΔE to the lowest computed polymorph (eV per atom) = 0.037
- DOS at the Fermi energy (states/eV per cell) = 1.52

Cell and atoms, written as POSCAR:
```
Pm2AsRh
1.0
0.0000 3.5871 3.5871
3.5871 0.0000 3.5871
3.5871 3.5871 0.0000
Pm As Rh
2 1 1
Direct
0.2500 0.2500 0.2500 Pm
0.7500 0.7500 0.7500 Pm
0.0000 0.0000 0.0000 As
0.5000 0.5000 0.5000 Rh
```

---

This record from Alexandria describes crystalline Y4ScFe at its relaxed geometry. The functional is GGA-PBE.

Output
- calculated formation energy (eV/atom) = 0.723
- SG = F-43m
- DOS at the Fermi energy (states/eV per cell) = 13.22

Cell and atoms, written as POSCAR:
```
Y4ScFe
1.0
0.0000 4.4419 4.4419
4.4419 0.0000 4.4419
4.4419 4.4419 0.0000
Y Sc Fe
4 1 1
Direct
0.1251 0.1251 0.1251 Y
0.1251 0.1251 0.6246 Y
0.1251 0.6246 0.1251 Y
0.6246 0.1251 0.1251 Y
0.5000 0.5000 0.5000 Sc
0.7500 0.7500 0.7500 Fe
```